# 1
The following is a DFT calculation (PBE-GGA) of a relaxed structure of OsRu2Pt.

Computed properties:
Its space-group type is C2/m (12).

Cell: 4.739 4.739 4.743 Å, 99.24 99.24 33.34°
Sites, in units of the cell vectors:
Os: 0.000 0.000 0.000
Ru: 0.254 0.254 0.764
Ru: 0.746 0.746 0.236
Pt: 0.500 0.500 0.500

# 2
The following is a DFT calculation (PBE-GGA) of a relaxed structure of Os2RuPt.

Computed properties:
Its space-group type is P2_1/m (11).

Cell: 3.871 3.869 7.747 Å, 90.00 90.01 90.00°
Sites, in units of the cell vectors:
Os: 0.001 0.250 0.121
Os: 0.499 0.750 0.121
Os: 0.501 0.250 0.879
Os: 0.999 0.750 0.879
Ru: 0.001 0.750 0.370
Ru: 0.999 0.250 0.630
Pt: 0.500 0.250 0.371
Pt: 0.500 0.750 0.629

The calculation returns the following electronic total energy values, one per record and in order: -8.88, -9.36 eV per atom.